Record 1
{
  "formula": "BPPt2",
  "functional": "GGA-PBEsol",
  "state": "relaxed",
  "lattice": [[-1.526, 3.800, -0.632], [-4.098, 0.582, -0.185], [-1.951, 1.986, 3.069]],
  "species": ["Pt", "Pt", "B", "P"],
  "fractional_positions": [[0.250, 0.250, 0.250], [0.750, 0.750, 0.750], [0.000, 0.000, 0.000], [0.500, 0.500, 0.500]],
  "formation_enthalpy_0k_ev_per_atom": 0.412,
  "rho_kg_m3": 14261,
  "magnetic_moment_mub_per_cell": 0.0
}

---

Record 2
{
  "formula": "K2LiFe",
  "functional": "GGA-PBEsol",
  "state": "relaxed",
  "lattice": [[5.640, 0.000, 0.000], [-2.820, 4.986, -0.029], [0.000, 3.217, 4.633]],
  "species": ["Li", "K", "K", "Fe"],
  "fractional_positions": [[0.500, 0.000, 0.500], [0.000, 0.000, 0.000], [0.250, 0.500, 0.250], [0.750, 0.500, 0.750]],
  "formation_enthalpy_0k_ev_per_atom": 0.938,
  "rho_kg_m3": 1790,
  "de_polymorph_mev_per_atom": 106,
  "magnetic_moment_mub_per_cell": 3.0
}

---

Record 3
{
  "formula": "Ta2MnAl",
  "functional": "GGA-PBEsol",
  "state": "relaxed",
  "lattice": [[-0.331, -1.565, -2.350], [2.872, -2.827, 1.477], [-3.552, -2.016, 3.048]],
  "species": ["Ta", "Ta", "Al", "Mn"],
  "fractional_positions": [[0.042, 0.000, 0.965], [0.773, 0.500, 0.265], [0.384, 0.000, 0.497], [0.302, 0.500, 0.774]],
  "formation_enthalpy_0k_ev_per_atom": -0.048,
  "rho_kg_m3": 12084,
  "magnetic_moment_mub_per_cell": 0.0
}